(1)
# TbPm2OsO8

Crystalline TbPm2OsO8 at its relaxed geometry (GGA-PBE, Alexandria via LeMat-Bulk).

POSCAR file:
```
TbPm2OsO8
1.0
5.1476 0.0000 0.0000
0.0000 6.9044 0.0000
-0.0372 0.0000 5.1491
Tb Pm Os O
1 2 1 8
Cartesian
0.0000 0.0000 0.0000
2.5552 1.7184 2.5746
2.5552 5.1860 2.5746
0.0000 3.4522 0.0000
0.8916 2.0138 4.2329
0.8916 4.8906 4.2329
1.3082 3.4522 1.3259
1.5527 0.0000 1.5710
3.5576 0.0000 3.5782
3.8022 3.4522 3.8232
4.2188 2.0138 0.9162
4.2188 4.8906 0.9162
```

Results
- electronic total energy (eV per cell) = -94.54
- SG = P2/m, No. 10
- E_form (uncorrected) (eV per atom) = -2.46
- magnetic moment (μB per atom) = 0.087


(2)
# PmTiOsO6

Crystalline PmTiOsO6 at its relaxed geometry (GGA-PBE, Alexandria via LeMat-Bulk).

POSCAR file:
```
PmTiOsO6
1.0
4.8771 0.0000 0.0000
0.0000 4.8771 0.0000
0.0000 0.0000 9.6195
Pm Ti Os O
2 2 2 12
Cartesian
0.0000 0.0000 0.0000
2.4385 2.4385 4.8098
0.0000 0.0000 3.1988
2.4385 2.4385 8.0086
0.0000 0.0000 6.4520
2.4385 2.4385 1.6422
0.8308 0.8308 4.8555
1.0281 1.0281 7.8008
1.0354 1.0354 1.8552
1.4032 3.4739 6.6650
1.4104 3.4667 2.9910
1.6077 3.2694 0.0457
3.2694 1.6077 0.0457
3.4667 1.4104 2.9910
3.4739 1.4032 6.6650
3.8417 3.8417 1.8552
3.8489 3.8489 7.8008
4.0463 4.0463 4.8555
```

Results
- electronic total energy (eV per cell) = -147.45
- SG = P4_2nm, No. 102
- E_form (uncorrected) (eV per atom) = -2.23
- magnetic moment (μB per atom) = 0.320


(3)
# Pm3Tl3OsO8

Crystalline Pm3Tl3OsO8 at its relaxed geometry (GGA-PBE, Alexandria via LeMat-Bulk).

POSCAR file:
```
Pm3Tl3OsO8
1.0
6.9807 0.0000 0.0000
3.4896 6.0480 0.0000
3.3910 1.8593 6.7919
Pm Tl Os O
3 3 1 8
Cartesian
0.0000 0.0000 0.0000
1.7448 3.0240 0.0000
3.4903 0.0000 0.0000
3.4403 3.9536 3.3959
5.1859 0.9296 3.3959
6.9307 3.9536 3.3959
5.2352 3.0240 0.0000
5.1351 2.8656 5.6913
7.1045 5.7639 5.7172
3.7109 2.1423 1.0829
5.2345 4.7802 1.0694
8.6269 3.1270 5.7225
10.1504 5.7650 5.7090
6.7569 2.1434 1.0747
8.7262 5.0416 1.1006
```

Results
- electronic total energy (eV per cell) = -100.71
- SG = P-1, No. 2
- E_form (uncorrected) (eV per atom) = -1.90
- magnetic moment (μB per atom) = 0.176


(4)
# Pm2Tl2OsO6

Crystalline Pm2Tl2OsO6 at its relaxed geometry (GGA-PBE, Alexandria via LeMat-Bulk).

POSCAR file:
```
Pm2Tl2OsO6
1.0
2.9603 -5.1907 0.0000
2.9603 5.1907 0.0000
-0.3662 0.0000 7.1828
Pm Tl Os O
2 2 1 6
Cartesian
2.9603 3.4845 0.0000
2.9603 -3.4845 0.0000
2.7772 1.5838 3.5914
2.7772 -1.5838 3.5914
2.9603 0.0000 0.0000
1.7492 1.5261 6.1370
1.2387 0.0000 1.0501
1.7492 -1.5261 6.1370
3.8051 1.5261 1.0458
4.3157 0.0000 6.1327
3.8051 -1.5261 1.0458
```

Results
- electronic total energy (eV per cell) = -74.86
- SG = C2/m, No. 12
- E_form (uncorrected) (eV per atom) = -1.79
- magnetic moment (μB per atom) = 0.225


(5)
# PmTl2OsO6

Crystalline PmTl2OsO6 at its relaxed geometry (GGA-PBE, Alexandria via LeMat-Bulk).

POSCAR file:
```
PmTl2OsO6
1.0
6.4279 0.0000 0.0000
-3.2140 5.5668 0.0000
0.0000 0.0000 5.9484
Pm Tl Os O
1 2 1 6
Cartesian
0.0000 0.0000 0.0000
0.0000 3.7112 3.1967
3.2140 1.8556 2.7517
0.0000 0.0000 2.9742
0.0000 1.5339 1.8159
-1.8855 4.7998 1.8159
1.3284 0.7670 4.1325
1.8855 4.7998 1.8159
5.0995 0.7670 4.1325
3.2140 4.0328 4.1325
```

Results
- electronic total energy (eV per cell) = -64.27
- SG = P-3m1, No. 164
- E_form (uncorrected) (eV per atom) = -1.38
- magnetic moment (μB per atom) = 0.102


(6)
# PmTlOsO6

Crystalline PmTlOsO6 at its relaxed geometry (GGA-PBE, Alexandria via LeMat-Bulk).

POSCAR file:
```
PmTlOsO6
1.0
5.7753 0.0000 0.0000
-2.8877 5.0016 0.0000
0.0000 0.0000 5.5377
Pm Tl Os O
1 1 1 6
Cartesian
0.0000 0.0000 0.0000
2.8877 1.6672 2.7688
0.0000 3.3344 0.0000
-0.6631 1.9477 1.0879
-1.5324 3.4535 4.4498
0.6631 1.9477 4.4498
-0.8693 4.6020 1.0879
1.5324 3.4535 1.0879
0.8693 4.6020 4.4498
```

Results
- electronic total energy (eV per cell) = -61.90
- SG = P312, No. 149
- E_form (uncorrected) (eV per atom) = -1.53
- magnetic moment (μB per atom) = 0.000